# Sm2MnRhO6, relaxed, DFT PBE with a Hubbard U
data_Sm2MnRhO6
_chemical_formula_sum 'Sm4 Mn2 Rh2 O12'
_symmetry_space_group_name_H-M 'P 1'
_symmetry_Int_Tables_number 1
_symmetry_space_group_name_Hall 'P 1'
_cell_length_a 5.463
_cell_length_b 5.874
_cell_length_c 9.214
_cell_angle_alpha 90.00
_cell_angle_beta 124.63
_cell_angle_gamma 90.00
loop_
_atom_site_label
_atom_site_fract_x
_atom_site_fract_y
_atom_site_fract_z
Sm1 0.226 0.076 0.249
Sm2 0.226 0.424 0.749
Sm3 0.774 0.576 0.251
Sm4 0.774 0.924 0.751
Mn1 0.500 0.000 0.000
Mn2 0.500 0.500 0.500
Rh1 0.000 0.000 0.500
Rh2 0.000 0.500 0.000
O1 0.134 0.194 0.948
O2 0.134 0.306 0.448
O3 0.258 0.695 0.945
O4 0.258 0.805 0.445
O5 0.368 0.038 0.755
O6 0.368 0.462 0.255
O7 0.632 0.538 0.745
O8 0.632 0.962 0.245
O9 0.742 0.195 0.555
O10 0.742 0.305 0.055
O11 0.866 0.694 0.552
O12 0.866 0.806 0.052
# Final energy in eV/f.u.: -77.2
# ρ in g/cm³: 7.570
# Calculated volume in Å³ per cell: 243.3